(1)
Below is a relaxed CePm2Dy3Se6 crystal, with properties calculated at the PBE-GGA level.

Computed properties:
- uncorrected formation energy (eV per atom) = -1.796
- SG = C2/m, No. 12
- V (A^3/atom) = 25.05

The structure in CIF format:
```
data_CePm2Dy3Se6
_space_group_name_H-M_alt 'P 1'
_space_group_IT_number 1
_cell_length_a 4.105
_cell_length_b 8.351
_cell_length_c 9.274
_cell_angle_alpha 103.78
_cell_angle_beta 102.79
_cell_angle_gamma 90.00
loop_
_space_group_symop_operation_xyz
'x,y,z'
loop_
_atom_site_label
_atom_site_type_symbol
_atom_site_fract_x
_atom_site_fract_y
_atom_site_fract_z
_atom_site_occupancy
Ce1 Ce 0.500 0.000 0.000 1
Pm1 Pm 0.834 0.669 0.668 1
Pm2 Pm 0.166 0.331 0.332 1
Dy1 Dy 0.500 0.500 0.000 1
Dy2 Dy 0.833 0.166 0.666 1
Dy3 Dy 0.167 0.834 0.334 1
Se1 Se 0.331 0.923 0.661 1
Se2 Se 0.665 0.590 0.329 1
Se3 Se 0.669 0.077 0.339 1
Se4 Se 0.997 0.257 0.994 1
Se5 Se 0.003 0.743 0.006 1
Se6 Se 0.335 0.410 0.671 1
```


(2)
Below is a relaxed CePm2DySe4 crystal, with properties calculated at the PBE-GGA level.

Computed properties:
- uncorrected formation energy (eV per atom) = -1.814
- SG = P2/m, No. 10
- V (A^3/atom) = 25.58

The structure in CIF format:
```
data_CePm2DySe4
_space_group_name_H-M_alt 'P 1'
_space_group_IT_number 1
_cell_length_a 4.140
_cell_length_b 7.250
_cell_length_c 7.216
_cell_angle_alpha 109.10
_cell_angle_beta 90.00
_cell_angle_gamma 90.00
loop_
_space_group_symop_operation_xyz
'x,y,z'
loop_
_atom_site_label
_atom_site_type_symbol
_atom_site_fract_x
_atom_site_fract_y
_atom_site_fract_z
_atom_site_occupancy
Ce1 Ce 0.500 0.500 0.000 1
Pm1 Pm 0.500 0.000 0.500 1
Pm2 Pm 0.000 0.500 0.500 1
Dy1 Dy 0.000 0.000 0.000 1
Se1 Se 0.500 0.242 0.242 1
Se2 Se 0.500 0.758 0.758 1
Se3 Se 0.000 0.246 0.754 1
Se4 Se 0.000 0.754 0.246 1
```


(3)
Below is a relaxed Ce4Pm3DySe8 crystal, with properties calculated at the PBE-GGA level.

Computed properties:
- uncorrected formation energy (eV per atom) = -1.830
- SG = R-3m, No. 166
- V (A^3/atom) = 25.96

The structure in CIF format:
```
data_Ce4Pm3DySe8
_space_group_name_H-M_alt 'P 1'
_space_group_IT_number 1
_cell_length_a 8.362
_cell_length_b 8.387
_cell_length_c 8.362
_cell_angle_alpha 119.89
_cell_angle_beta 120.00
_cell_angle_gamma 90.00
loop_
_space_group_symop_operation_xyz
'x,y,z'
loop_
_atom_site_label
_atom_site_type_symbol
_atom_site_fract_x
_atom_site_fract_y
_atom_site_fract_z
_atom_site_occupancy
Ce1 Ce 0.500 0.000 0.000 1
Ce2 Ce 0.500 0.000 0.500 1
Ce3 Ce 0.000 0.000 0.000 1
Ce4 Ce 0.000 0.000 0.500 1
Pm1 Pm 0.500 0.500 0.000 1
Pm2 Pm 0.500 0.500 0.500 1
Pm3 Pm 0.000 0.500 0.500 1
Dy1 Dy 0.000 0.500 0.000 1
Se1 Se 0.246 0.745 0.999 1
Se2 Se 0.246 0.745 0.492 1
Se3 Se 0.250 0.251 0.500 1
Se4 Se 0.754 0.745 0.999 1
Se5 Se 0.246 0.255 0.001 1
Se6 Se 0.750 0.749 0.500 1
Se7 Se 0.754 0.255 0.508 1
Se8 Se 0.754 0.255 0.001 1
```


(4)
Below is a relaxed Ce2PmDy3Se6 crystal, with properties calculated at the PBE-GGA level.

Computed properties:
- uncorrected formation energy (eV per atom) = -1.799
- SG = C2/m, No. 12
- V (A^3/atom) = 25.04

The structure in CIF format:
```
data_Ce2PmDy3Se6
_space_group_name_H-M_alt 'P 1'
_space_group_IT_number 1
_cell_length_a 7.125
_cell_length_b 7.125
_cell_length_c 7.242
_cell_angle_alpha 99.44
_cell_angle_beta 99.44
_cell_angle_gamma 120.08
loop_
_space_group_symop_operation_xyz
'x,y,z'
loop_
_atom_site_label
_atom_site_type_symbol
_atom_site_fract_x
_atom_site_fract_y
_atom_site_fract_z
_atom_site_occupancy
Ce1 Ce 0.333 0.667 0.000 1
Ce2 Ce 0.667 0.333 0.000 1
Pm1 Pm 0.000 0.000 0.000 1
Dy1 Dy 0.164 0.836 0.500 1
Dy2 Dy 0.836 0.164 0.500 1
Dy3 Dy 0.500 0.500 0.500 1
Se1 Se 0.913 0.579 0.738 1
Se2 Se 0.753 0.753 0.260 1
Se3 Se 0.087 0.421 0.262 1
Se4 Se 0.579 0.913 0.738 1
Se5 Se 0.247 0.247 0.740 1
Se6 Se 0.421 0.087 0.262 1
```


(5)
Below is a relaxed Ce2PmDySe5 crystal, with properties calculated at the PBE-GGA level.

Computed properties:
- uncorrected formation energy (eV per atom) = -1.306
- SG = P4/mmm, No. 123
- V (A^3/atom) = 32.06

The structure in CIF format:
```
data_Ce2PmDySe5
_space_group_name_H-M_alt 'P 1'
_space_group_IT_number 1
_cell_length_a 5.135
_cell_length_b 5.135
_cell_length_c 10.945
_cell_angle_alpha 90.00
_cell_angle_beta 90.00
_cell_angle_gamma 90.00
loop_
_space_group_symop_operation_xyz
'x,y,z'
loop_
_atom_site_label
_atom_site_type_symbol
_atom_site_fract_x
_atom_site_fract_y
_atom_site_fract_z
_atom_site_occupancy
Ce1 Ce 0.500 0.500 0.309 1
Ce2 Ce 0.500 0.500 0.691 1
Pm1 Pm 0.000 0.000 0.000 1
Dy1 Dy 0.000 0.000 0.500 1
Se1 Se 0.000 0.500 0.500 1
Se2 Se 0.500 0.000 0.500 1
Se3 Se 0.000 0.000 0.752 1
Se4 Se 0.000 0.000 0.248 1
Se5 Se 0.500 0.500 0.000 1
```


(6)
Below is a relaxed CePm3Dy2Se6 crystal, with properties calculated at the PBE-GGA level.

Computed properties:
- uncorrected formation energy (eV per atom) = -1.808
- SG = C2/m, No. 12
- V (A^3/atom) = 25.41

The structure in CIF format:
```
data_CePm3Dy2Se6
_space_group_name_H-M_alt 'P 1'
_space_group_IT_number 1
_cell_length_a 4.134
_cell_length_b 8.370
_cell_length_c 9.292
_cell_angle_alpha 103.04
_cell_angle_beta 102.85
_cell_angle_gamma 90.00
loop_
_space_group_symop_operation_xyz
'x,y,z'
loop_
_atom_site_label
_atom_site_type_symbol
_atom_site_fract_x
_atom_site_fract_y
_atom_site_fract_z
_atom_site_occupancy
Ce1 Ce 0.500 0.000 0.000 1
Pm1 Pm 0.500 0.500 0.000 1
Pm2 Pm 0.836 0.166 0.671 1
Pm3 Pm 0.164 0.834 0.329 1
Dy1 Dy 0.835 0.670 0.669 1
Dy2 Dy 0.165 0.330 0.331 1
Se1 Se 0.332 0.909 0.664 1
Se2 Se 0.670 0.577 0.340 1
Se3 Se 0.668 0.091 0.336 1
Se4 Se 0.003 0.252 0.006 1
Se5 Se 0.997 0.748 0.994 1
Se6 Se 0.330 0.423 0.660 1
```


(7)
Below is a relaxed Ce3Pm3DySe8 crystal, with properties calculated at the PBE-GGA level.

Computed properties:
- uncorrected formation energy (eV per atom) = -1.862
- SG = R-3m, No. 166
- V (A^3/atom) = 27.68

The structure in CIF format:
```
data_Ce3Pm3DySe8
_space_group_name_H-M_alt 'P 1'
_space_group_IT_number 1
_cell_length_a 8.376
_cell_length_b 8.376
_cell_length_c 8.372
_cell_angle_alpha 120.02
_cell_angle_beta 90.00
_cell_angle_gamma 120.00
loop_
_space_group_symop_operation_xyz
'x,y,z'
loop_
_atom_site_label
_atom_site_type_symbol
_atom_site_fract_x
_atom_site_fract_y
_atom_site_fract_z
_atom_site_occupancy
Ce1 Ce 0.500 0.000 0.500 1
Ce2 Ce 0.500 0.500 0.500 1
Ce3 Ce 0.000 0.500 0.500 1
Pm1 Pm 0.000 0.000 0.000 1
Pm2 Pm 0.000 0.500 0.000 1
Pm3 Pm 0.500 0.500 0.000 1
Dy1 Dy 0.000 0.000 0.500 1
Se1 Se 0.250 0.499 0.249 1
Se2 Se 0.750 0.501 0.751 1
Se3 Se 0.753 0.506 0.252 1
Se4 Se 0.247 0.494 0.748 1
Se5 Se 0.753 0.999 0.252 1
Se6 Se 0.247 0.001 0.748 1
Se7 Se 0.246 0.999 0.252 1
Se8 Se 0.754 0.001 0.748 1
```


(8)
Below is a relaxed Ce3Pm2DySe6 crystal, with properties calculated at the PBE-GGA level.

Computed properties:
- uncorrected formation energy (eV per atom) = -1.822
- SG = C2/m, No. 12
- V (A^3/atom) = 25.82

The structure in CIF format:
```
data_Ce3Pm2DySe6
_space_group_name_H-M_alt 'P 1'
_space_group_IT_number 1
_cell_length_a 7.223
_cell_length_b 7.223
_cell_length_c 7.273
_cell_angle_alpha 99.53
_cell_angle_beta 99.53
_cell_angle_gamma 120.04
loop_
_space_group_symop_operation_xyz
'x,y,z'
loop_
_atom_site_label
_atom_site_type_symbol
_atom_site_fract_x
_atom_site_fract_y
_atom_site_fract_z
_atom_site_occupancy
Ce1 Ce 0.170 0.830 0.500 1
Ce2 Ce 0.830 0.170 0.500 1
Ce3 Ce 0.500 0.500 0.500 1
Pm1 Pm 0.334 0.666 0.000 1
Pm2 Pm 0.666 0.334 0.000 1
Dy1 Dy 0.000 0.000 0.000 1
Se1 Se 0.919 0.592 0.756 1
Se2 Se 0.756 0.756 0.247 1
Se3 Se 0.081 0.408 0.244 1
Se4 Se 0.592 0.919 0.756 1
Se5 Se 0.244 0.244 0.753 1
Se6 Se 0.408 0.081 0.244 1
```


(9)
Below is a relaxed CePmSm2Dy5 crystal, with properties calculated at the PBE-GGA level.

Computed properties:
- total DFT energy (no corrections) (eV/f.u.) = -40.7
- SG = I4/mcm, No. 140
- V (A^3/atom) = 32.35

The structure in CIF format:
```
data_CePmSm2Dy5
_space_group_name_H-M_alt 'P 1'
_space_group_IT_number 1
_cell_length_a 8.662
_cell_length_b 8.662
_cell_length_c 9.885
_cell_angle_alpha 115.99
_cell_angle_beta 115.99
_cell_angle_gamma 90.00
loop_
_space_group_symop_operation_xyz
'x,y,z'
loop_
_atom_site_label
_atom_site_type_symbol
_atom_site_fract_x
_atom_site_fract_y
_atom_site_fract_z
_atom_site_occupancy
Ce1 Ce 0.250 0.750 0.500 1
Ce2 Ce 0.750 0.250 0.500 1
Pm1 Pm 0.250 0.250 0.500 1
Pm2 Pm 0.750 0.750 0.500 1
Sm1 Sm 0.120 0.380 0.000 1
Sm2 Sm 0.620 0.120 0.000 1
Sm3 Sm 0.380 0.880 0.000 1
Sm4 Sm 0.880 0.620 0.000 1
Dy1 Dy 0.937 0.437 0.277 1
Dy2 Dy 0.660 0.160 0.723 1
Dy3 Dy 0.063 0.563 0.723 1
Dy4 Dy 0.160 0.063 0.723 1
Dy5 Dy 0.563 0.660 0.723 1
Dy6 Dy 0.840 0.937 0.277 1
Dy7 Dy 0.437 0.340 0.277 1
Dy8 Dy 0.340 0.840 0.277 1
Dy9 Dy 0.500 0.500 0.000 1
Dy10 Dy 0.000 0.000 0.000 1
```


(10)
Below is a relaxed CePm2SmDy5 crystal, with properties calculated at the PBE-GGA level.

Computed properties:
- total DFT energy (no corrections) (eV/f.u.) = -40.6
- SG = P4/mbm, No. 127
- V (A^3/atom) = 33.04

The structure in CIF format:
```
data_CePm2SmDy5
_space_group_name_H-M_alt 'P 1'
_space_group_IT_number 1
_cell_length_a 8.004
_cell_length_b 8.620
_cell_length_c 8.620
_cell_angle_alpha 90.00
_cell_angle_beta 90.00
_cell_angle_gamma 90.00
loop_
_space_group_symop_operation_xyz
'x,y,z'
loop_
_atom_site_label
_atom_site_type_symbol
_atom_site_fract_x
_atom_site_fract_y
_atom_site_fract_z
_atom_site_occupancy
Ce1 Ce 0.000 0.000 0.500 1
Ce2 Ce 0.000 0.500 0.000 1
Pm1 Pm 0.500 0.620 0.120 1
Pm2 Pm 0.500 0.120 0.380 1
Pm3 Pm 0.500 0.880 0.620 1
Pm4 Pm 0.500 0.380 0.880 1
Sm1 Sm 0.000 0.500 0.500 1
Sm2 Sm 0.000 0.000 0.000 1
Dy1 Dy 0.500 0.500 0.500 1
Dy2 Dy 0.500 0.000 0.000 1
Dy3 Dy 0.224 0.207 0.707 1
Dy4 Dy 0.224 0.793 0.293 1
Dy5 Dy 0.224 0.293 0.207 1
Dy6 Dy 0.224 0.707 0.793 1
Dy7 Dy 0.776 0.207 0.707 1
Dy8 Dy 0.776 0.707 0.793 1
Dy9 Dy 0.776 0.793 0.293 1
Dy10 Dy 0.776 0.293 0.207 1
```


Question: What is the V in the fourth record?
Answer: 25.04 A^3/atom